No. 1
SmCdAgSe3, relaxed, DFT PBE-GGA; calculated total energy = -4.032 eV per atom; calculated volume = 300 Å³ per cell
1.0
-6.430 3.845 -2.293
0.339 -1.651 -3.718
-3.843 -8.120 3.255
Ag Cd Se Sm
2 2 6 2
Cartesian
-7.157 -1.204 -3.479
-2.777 -4.722 0.723
-2.447 -1.850 -0.522
-7.487 -4.076 -2.234
-2.928 -0.857 -3.248
-6.424 1.134 -4.450
-6.331 -1.656 -0.962
-3.603 -4.269 -1.794
-3.510 -7.060 1.694
-7.006 -5.069 0.492
-4.995 0.826 -1.942
-4.939 -6.752 -0.814

No. 2
CdSi2Ag, relaxed, DFT PBE-GGA; calculated total energy = -3.155 eV per atom; calculated volume = 74 Å³ per cell
1.0
0.000 3.326 3.326
3.326 0.000 3.326
3.326 3.326 0.000
Ag Cd Si
1 1 2
Cartesian
4.990 4.990 4.990
0.000 0.000 0.000
1.663 1.663 1.663
3.326 3.326 3.326

No. 3
CdSiAg, relaxed, DFT PBE-GGA; calculated total energy = -2.843 eV per atom; calculated volume = 61 Å³ per cell; energy above the most stable polymorph in this dataset = 0.0 kJ/mol of atoms
1.0
0.000 3.125 3.125
3.125 0.000 3.125
3.125 3.125 0.000
Ag Cd Si
1 1 1
Cartesian
1.562 1.562 1.562
4.687 4.687 4.687
0.000 0.000 0.000

No. 4
SmCd2Ag4, relaxed, DFT PBE-GGA; calculated total energy = -2.749 eV per atom; calculated volume = 147 Å³ per cell
1.0
4.565 -3.617 0.000
4.565 3.617 0.000
-3.382 0.000 4.440
Ag Cd Sm
4 2 1
Cartesian
1.763 -2.214 1.364
1.763 2.214 1.364
3.985 -2.214 3.076
3.985 2.214 3.076
3.711 0.000 1.099
2.038 0.000 3.341
0.000 0.000 0.000

No. 5
SmCd8Ag4, relaxed, DFT PBE-GGA; calculated total energy = -1.936 eV per atom; calculated volume = 277 Å³ per cell
1.0
3.498 -0.472 6.677
-7.099 -0.650 -2.495
2.781 -6.306 -3.090
Ag Cd Sm
4 8 1
Cartesian
1.749 -0.236 3.339
-3.550 -0.325 -1.247
1.390 -3.153 -1.545
-0.410 -3.714 0.546
-2.716 -2.035 0.908
-0.470 -1.997 2.851
2.164 -2.336 1.236
-1.489 -2.398 -1.925
4.115 -4.442 2.351
-2.830 -4.559 -3.660
1.895 -5.393 0.184
-0.350 -5.431 -1.759
0.000 0.000 0.000

No. 6
CdAgSn2, relaxed, DFT PBE-GGA; calculated total energy = -2.819 eV per atom; calculated volume = 97 Å³ per cell
1.0
3.086 2.093 3.559
-1.903 3.380 3.395
-0.505 -1.331 4.954
Ag Cd Sn
1 1 2
Cartesian
0.339 2.071 5.954
0.169 1.036 2.977
0.000 0.000 0.000
0.508 3.107 8.931